[1]
Computed, not measured: a relaxed CsNdTe2 crystal at the PBE level of DFT.

Unit cell a=9.350 b=9.350 c=9.350 alpha=28.98 beta=28.98 gamma=28.98
Fractional positions:
Cs 0.000 0.000 0.000
Nd 0.500 0.500 0.500
Te 0.232 0.232 0.232
Te 0.768 0.768 0.768

volume: 169.7 Å³ per cell
total magnetization: 0.00 μB/cell
formation energy from raw total energies: -32.62 kcal/mol of atoms

[2]
Computed, not measured: a relaxed PaTi2Te3 crystal at the PBE level of DFT.

Unit cell a=10.535 b=10.535 c=8.730 alpha=90.18 beta=90.18 gamma=20.97
Fractional positions:
Pa 0.166 0.166 0.445
Pa 0.834 0.834 0.555
Ti 0.202 0.202 0.049
Ti 0.454 0.454 0.642
Ti 0.546 0.546 0.358
Ti 0.798 0.798 0.951
Te 0.076 0.076 0.146
Te 0.247 0.247 0.753
Te 0.413 0.413 0.342
Te 0.587 0.587 0.658
Te 0.753 0.753 0.247
Te 0.924 0.924 0.854

volume: 346.8 Å³ per cell
total magnetization: 6.05 μB/cell
formation energy from raw total energies: -10.34 kcal/mol of atoms

[3]
Computed, not measured: a relaxed Pr3CoPd crystal at the PBE level of DFT.

Unit cell a=8.327 b=8.327 c=8.471 alpha=94.69 beta=94.69 gamma=27.03
Fractional positions:
Pr 0.056 0.056 0.319
Pr 0.234 0.234 0.695
Pr 0.399 0.399 0.047
Pr 0.601 0.601 0.953
Pr 0.766 0.766 0.305
Pr 0.944 0.944 0.681
Co 0.220 0.220 0.051
Co 0.780 0.780 0.949
Pd 0.410 0.410 0.417
Pd 0.590 0.590 0.583

volume: 266.0 Å³ per cell
total magnetization: 0.74 μB/cell
polymorph energy (0 for the lowest one): 6 kJ/mol of formula units
formation energy: -0.3026 eV/atom

[4]
Computed, not measured: a relaxed FeAsC crystal at the PBE level of DFT.

Unit cell a=2.921 b=4.880 c=6.798 alpha=72.58 beta=82.18 gamma=75.45
Fractional positions:
Fe 0.000 0.000 0.000
Fe 0.198 0.505 0.990
As 0.465 0.537 0.615
As 0.743 0.223 0.264
C 0.005 0.327 0.776
C 0.596 0.760 0.001

volume: 89.3 Å³ per cell
total magnetization: 0.00 μB/cell
polymorph energy (0 for the lowest one): 15 kJ/mol of formula units
formation energy: 0.4905 eV/atom

What is the formula in the first record?
CsNdTe2

Copy entry 2 word for word.
Computed, not measured: a relaxed PaTi2Te3 crystal at the PBE level of DFT.

Unit cell a=10.535 b=10.535 c=8.730 alpha=90.18 beta=90.18 gamma=20.97
Fractional positions:
Pa 0.166 0.166 0.445
Pa 0.834 0.834 0.555
Ti 0.202 0.202 0.049
Ti 0.454 0.454 0.642
Ti 0.546 0.546 0.358
Ti 0.798 0.798 0.951
Te 0.076 0.076 0.146
Te 0.247 0.247 0.753
Te 0.413 0.413 0.342
Te 0.587 0.587 0.658
Te 0.753 0.753 0.247
Te 0.924 0.924 0.854

volume: 346.8 Å³ per cell
total magnetization: 6.05 μB/cell
formation energy from raw total energies: -10.34 kcal/mol of atoms